# 1
TbTmTe2: optimized geometry, GGA-PBE.

abc: 4.4455 9.6710 8.1397
angles: 90.00 123.01 90.00
Element x y z (fractional)
Tb (0.0000, 0.0855, 0.0000)
Tb (0.0000, 0.9145, 0.5000)
Tm (0.1609, 0.3223, 0.6604)
Tm (0.1609, 0.6777, 0.1604)
Te (0.7787, 0.1790, 0.2795)
Te (0.7787, 0.8210, 0.7795)
Te (0.9111, 0.4133, 0.9112)
Te (0.9111, 0.5867, 0.4112)

**Energy above the most stable polymorph in this dataset**: 0.3656 eV per atom
**Crystal system**: monoclinic
**DOS at the Fermi energy**: 0.41 states/eV/atom
**ΔE_f (raw)**: -912 meV/atom
**Space-group type**: Pc, No. 7
**Total moment**: 0.00 μB per cell

# 2
TbTm2Te: optimized geometry, GGA-PBE.

abc: 3.8177 3.8177 7.8886
angles: 90.00 90.00 90.00
Element x y z (fractional)
Tb (0.0000, 0.0000, 0.0000)
Tm (0.5000, 0.5000, 0.2748)
Tm (0.5000, 0.5000, 0.7252)
Te (0.0000, 0.0000, 0.5000)

**Energy above the most stable polymorph in this dataset**: 0.1025 eV per atom
**Crystal system**: tetragonal
**DOS at the Fermi energy**: 1.19 states/eV/atom
**ΔE_f (raw)**: -527 meV/atom
**Space-group type**: P4/mmm, No. 123
**Total moment**: 0.00 μB per cell

# 3
TbTm2Te: optimized geometry, GGA-PBE.

abc: 11.0247 11.0247 11.0247
angles: 19.58 19.58 19.58
Element x y z (fractional)
Tb (0.0000, 0.0000, 0.0000)
Tm (0.1026, 0.1026, 0.1026)
Tm (0.8974, 0.8974, 0.8974)
Te (0.5000, 0.5000, 0.5000)

**Energy above the most stable polymorph in this dataset**: 0.4662 eV per atom
**Crystal system**: trigonal
**DOS at the Fermi energy**: 1.35 states/eV/atom
**ΔE_f (raw)**: -163 meV/atom
**Space-group type**: R-3m, No. 166
**Total moment**: 0.94 μB per cell

> The lowest energy above the most stable polymorph in this dataset belongs to which entry?

number 2

> ΔE_f (raw) of number 1 (TbTmTe2)?

-912 meV/atom

> Which of these has the lowest DOS at the Fermi energy?

TbTmTe2

> energy above the most stable polymorph in this dataset of number 3 (TbTm2Te)?

0.4662 eV per atom